(1)
Density functional theory data (GGA-PBE) for SrInTc after structural relaxation.

a = 3.4447 Å, b = 3.4447 Å, c = 7.2157 Å
α = 90.00°, β = 90.00°, γ = 120.00°
Closest atoms and distances in Å follow each position.
Atoms (fractional coordinates):
Sr 0.6667 0.3333 0.3603  3 Tc 3.08, 6 Sr 3.44
Tc 0.3333 0.6667 0.6855  3 In 2.78, 3 Sr 3.08
In 0.0000 0.0000 0.9542  3 Tc 2.78

Computed properties:
energy above the most stable polymorph in this dataset: 0.294 eV/atom
energy of formation: 0.649 eV per atom
symmetry: P3m1, No. 156



(2)
Density functional theory data (GGA-PBE) for CrNiOs3 after structural relaxation.

a = 4.4077 Å, b = 4.4077 Å, c = 4.4077 Å
α = 90.00°, β = 90.00°, γ = 90.00°
Closest atoms and distances in Å follow each position.
Atoms (fractional coordinates):
Ni 0.5000 0.5000 0.5000  12 Os 3.12
Cr 0.0000 0.0000 0.0000  6 Os 2.20
Os 0.0000 0.0000 0.5000  2 Cr 2.20
Os 0.5000 0.0000 0.0000  2 Cr 2.20
Os 0.0000 0.5000 0.0000  2 Cr 2.20

Computed properties:
energy above the most stable polymorph in this dataset: 1.588 eV/atom
energy of formation: 1.884 eV per atom
symmetry: Pm-3m, No. 221



(3)
Density functional theory data (GGA-PBE) for ScRu3Au after structural relaxation.

a = 4.5938 Å, b = 4.5938 Å, c = 4.5938 Å
α = 90.00°, β = 90.00°, γ = 90.00°
Closest atoms and distances in Å follow each position.
Atoms (fractional coordinates):
Ru 0.5000 0.0000 0.0000  2 Sc 2.30
Ru 0.0000 0.5000 0.0000  2 Sc 2.30
Ru 0.0000 0.0000 0.5000  2 Sc 2.30
Au 0.5000 0.5000 0.5000  12 Ru 3.25
Sc 0.0000 0.0000 0.0000  6 Ru 2.30

Computed properties:
energy above the most stable polymorph in this dataset: 0.000 eV/atom
energy of formation: 1.507 eV per atom
symmetry: Pm-3m, No. 221



(4)
Density functional theory data (GGA-PBE) for TbScIn2 after structural relaxation.

a = 3.6497 Å, b = 3.6497 Å, c = 7.3990 Å
α = 90.00°, β = 90.00°, γ = 90.00°
Closest atoms and distances in Å follow each position.
Atoms (fractional coordinates):
In 0.0000 0.0000 0.7687  4 Sc 3.10, 4 Tb 3.26, 1 In 3.42
In 0.0000 0.0000 0.2313  4 Sc 3.10, 4 Tb 3.26, 1 In 3.42
Sc 0.5000 0.5000 0.0000  8 In 3.10
Tb 0.5000 0.5000 0.5000  8 In 3.26

Computed properties:
energy of formation: -0.442 eV per atom
symmetry: P4/mmm, No. 123